Density functional theory data (GGA-PBEsol) for a relaxed LiCa2F crystal.

Properties
total DFT energy (no corrections): -2.75 eV/atom
V: 400.6 Å³/cell

Unit cell a=7.3719 b=7.3719 c=7.3719 alpha=90.00 beta=90.00 gamma=90.00
With the nearest neighbours (Å) after each atom.
Space group Fm-3m (No. 225)
Inequivalent atoms, fractional coordinates:
Li1 0.0000 0.0000 0.0000 [4 per cell]  8 Ca 3.19
Ca1 0.2500 0.2500 0.2500 [8 per cell]  4 F 3.19, 4 Li 3.19
F1 0.0000 0.0000 0.5000 [4 per cell]  8 Ca 3.19

=====

Density functional theory data (GGA-PBEsol) for a relaxed LiCa2F2 crystal.

Properties
total DFT energy (no corrections): -4.31 eV/atom
V: 202.6 Å³/cell

Unit cell a=3.9503 b=3.9503 c=12.9855 alpha=90.00 beta=90.00 gamma=90.00
With the nearest neighbours (Å) after each atom.
Space group I4/mmm (No. 139)
Inequivalent atoms, fractional coordinates:
Li1 0.0000 0.0000 0.0000 [2 per cell]  8 Ca 3.43, 8 F 3.80
Ca1 0.0000 0.0000 0.3471 [4 per cell]  4 F 2.34
F1 0.0000 0.5000 0.2500 [4 per cell]  4 Ca 2.34

=====

Density functional theory data (GGA-PBEsol) for a relaxed LiCaNiF6 crystal.

Properties
total DFT energy (no corrections): -5.11 eV/atom
V: 212.2 Å³/cell

Unit cell a=5.0206 b=5.0206 c=9.7187 alpha=90.00 beta=90.00 gamma=120.00
With the nearest neighbours (Å) after each atom.
Space group P-31c (No. 163)
Inequivalent atoms, fractional coordinates:
Li1 0.3333 0.6667 0.2500 [2 per cell]  6 F 1.99
Ca1 0.0000 0.0000 0.0000 [2 per cell]  6 F 2.26
Ni1 0.3333 0.6667 0.7500 [2 per cell]  6 F 1.87
F1 0.0190 0.3689 0.8594 [12 per cell]  1 Ni 1.87, 1 Li 1.99

=====

Density functional theory data (GGA-PBEsol) for a relaxed LiCaTa2O6F crystal.

Properties
total DFT energy (no corrections): -8.68 eV/atom
V: 554.4 Å³/cell

Unit cell a=7.2728 b=7.3798 c=10.3297 alpha=90.00 beta=90.00 gamma=90.00
With the nearest neighbours (Å) after each atom.
Space group Imma (No. 74)
Inequivalent atoms, fractional coordinates:
Li1 0.2500 0.2500 0.2500 [4 per cell]  2 F 2.19
Ca1 0.0000 0.0000 0.0000 [4 per cell]  2 F 2.29
Ta1 0.0000 0.0000 0.5000 [4 per cell]  6 O 1.97
Ta2 0.2500 0.2500 0.7500 [4 per cell]  6 O 1.97-1.98
O1 0.0000 0.2500 0.4345 [4 per cell]  2 Ta 1.97
O2 0.0000 0.2500 0.8250 [4 per cell]  2 Ta 1.98
O3 0.1985 0.0576 0.6236 [16 per cell]  2 Ta 1.97
F1 0.0000 0.2500 0.1310 [4 per cell]  2 Li 2.19, 2 Ca 2.29

=====

Density functional theory data (GGA-PBEsol) for a relaxed LiCaVF6 crystal.

Properties
total DFT energy (no corrections): -6.06 eV/atom
V: 221.2 Å³/cell

Unit cell a=5.1133 b=5.1133 c=9.7700 alpha=90.00 beta=90.00 gamma=120.00
With the nearest neighbours (Å) after each atom.
Space group P-31c (No. 163)
Inequivalent atoms, fractional coordinates:
Li1 0.3333 0.6667 0.2500 [2 per cell]  6 F 2.02
Ca1 0.0000 0.0000 0.0000 [2 per cell]  6 F 2.27
V1 0.3333 0.6667 0.7500 [2 per cell]  6 F 1.93
F1 0.0124 0.3606 0.6393 [12 per cell]  1 V 1.93, 1 Li 2.02

=====

Density functional theory data (GGA-PBEsol) for a relaxed Ca2MgF crystal.

Properties
total DFT energy (no corrections): -3.31 eV/atom
V: 430.5 Å³/cell

Unit cell a=7.1993 b=7.1993 c=8.3061 alpha=90.00 beta=90.00 gamma=90.00
With the nearest neighbours (Å) after each atom.
Space group I-42d (No. 122)
Inequivalent atoms, fractional coordinates:
Ca1 0.1330 0.7500 0.1250 [8 per cell]  2 F 2.29
Mg1 0.0000 0.0000 0.5000 [4 per cell]  8 Ca 3.36-3.72
F1 0.0000 0.0000 0.0000 [4 per cell]  4 Ca 2.29

=====

Density functional theory data (GGA-PBEsol) for a relaxed CaMgN2F crystal.

Properties
total DFT energy (no corrections): -4.47 eV/atom
V: 83.5 Å³/cell

Unit cell a=4.5022 b=4.5022 c=4.1197 alpha=90.00 beta=90.00 gamma=90.00
With the nearest neighbours (Å) after each atom.
Space group P4/mmm (No. 123)
Inequivalent atoms, fractional coordinates:
Ca1 0.0000 0.0000 0.0000 [1 per cell]  2 F 2.06, 4 N 2.25
Mg1 0.5000 0.5000 0.5000 [1 per cell]  8 N 3.05, 4 F 3.18
N1 0.0000 0.5000 0.0000 [2 per cell]  2 Ca 2.25
F1 0.0000 0.0000 0.5000 [1 per cell]  2 Ca 2.06

=====

Density functional theory data (GGA-PBEsol) for a relaxed CaMgNF2 crystal.

Properties
total DFT energy (no corrections): -4.72 eV/atom
V: 81.2 Å³/cell

Unit cell a=4.1375 b=4.1375 c=4.7413 alpha=90.00 beta=90.00 gamma=90.00
With the nearest neighbours (Å) after each atom.
Space group P4/mmm (No. 123)
Inequivalent atoms, fractional coordinates:
Ca1 0.0000 0.0000 0.0000 [1 per cell]  4 F 2.07
Mg1 0.5000 0.5000 0.5000 [1 per cell]  4 N 2.93, 8 F 3.15
N1 0.0000 0.0000 0.5000 [1 per cell]  2 Ca 2.37
F1 0.0000 0.5000 0.0000 [2 per cell]  2 Ca 2.07

=====

Density functional theory data (GGA-PBEsol) for a relaxed NaCaMg2F7 crystal.

Properties
total DFT energy (no corrections): -5.38 eV/atom
V: 536.6 Å³/cell

Unit cell a=7.1268 b=7.3641 c=10.2249 alpha=90.00 beta=90.00 gamma=90.00
With the nearest neighbours (Å) after each atom.
Space group Imma (No. 74)
Inequivalent atoms, fractional coordinates:
Na1 0.2500 0.2500 0.2500 [4 per cell]  2 F 2.23
Ca1 0.0000 0.0000 0.0000 [4 per cell]  6 F 2.20-2.44
Mg1 0.0000 0.0000 0.5000 [4 per cell]  6 F 1.98-1.99
Mg2 0.2500 0.2500 0.7500 [4 per cell]  6 F 1.97-1.98
F1 0.0000 0.2500 0.1187 [4 per cell]  2 Ca 2.20, 2 Na 2.23
F2 0.0000 0.2500 0.4275 [4 per cell]  2 Mg 1.98
F3 0.0000 0.2500 0.8326 [4 per cell]  2 Mg 1.97
F4 0.2105 0.0512 0.6221 [16 per cell]  2 Mg 1.98-1.99

=====

Density functional theory data (GGA-PBEsol) for a relaxed CaMnO2F crystal.

Properties
total DFT energy (no corrections): -5.96 eV/atom
V: 74.7 Å³/cell

Unit cell a=4.2489 b=4.2489 c=4.1371 alpha=90.00 beta=90.00 gamma=90.00
With the nearest neighbours (Å) after each atom.
Space group P4/mmm (No. 123)
Inequivalent atoms, fractional coordinates:
Ca1 0.0000 0.0000 0.0000 [1 per cell]  2 F 2.07, 4 O 2.12
Mn1 0.5000 0.5000 0.5000 [1 per cell]  8 O 2.97, 4 F 3.00
O1 0.0000 0.5000 0.0000 [2 per cell]  2 Ca 2.12
F1 0.0000 0.0000 0.5000 [1 per cell]  2 Ca 2.07

=====

Density functional theory data (GGA-PBEsol) for a relaxed CaMoF5 crystal.

Properties
total DFT energy (no corrections): -6.28 eV/atom
V: 435.3 Å³/cell

Unit cell a=9.2118 b=6.7060 c=7.7519 alpha=90.00 beta=114.62 gamma=90.00
With the nearest neighbours (Å) after each atom.
Space group C2/c (No. 15)
Inequivalent atoms, fractional coordinates:
Ca1 0.0000 0.0366 0.2500 [4 per cell]  5 F 2.19-2.41
Mo1 0.0000 0.5000 0.0000 [4 per cell]  6 F 2.01-2.06
F1 0.0000 0.3959 0.2500 [4 per cell]  2 Mo 2.06
F2 0.0090 0.1971 0.9698 [8 per cell]  1 Mo 2.05, 1 Ca 2.29
F3 0.2391 0.4763 0.6244 [8 per cell]  1 Mo 2.01, 1 Ca 2.19

=====

Density functional theory data (GGA-PBEsol) for a relaxed NaCaN2F crystal.

Properties
total DFT energy (no corrections): -4.30 eV/atom
V: 74.4 Å³/cell

Unit cell a=4.3183 b=4.3183 c=3.9882 alpha=90.00 beta=90.00 gamma=90.00
With the nearest neighbours (Å) after each atom.
Space group P4/mmm (No. 123)
Inequivalent atoms, fractional coordinates:
Na1 0.0000 0.0000 0.0000 [1 per cell]  2 F 1.99, 4 N 2.16
Ca1 0.5000 0.5000 0.5000 [1 per cell]  8 N 2.94, 4 F 3.05
N1 0.0000 0.5000 0.0000 [2 per cell]  2 Na 2.16
F1 0.0000 0.0000 0.5000 [1 per cell]  2 Na 1.99

=====

Density functional theory data (GGA-PBEsol) for a relaxed CaN2OF crystal.

Properties
total DFT energy (no corrections): -4.18 eV/atom
V: 102.2 Å³/cell

Unit cell a=4.9127 b=4.9127 c=4.2364 alpha=90.00 beta=90.00 gamma=90.00
With the nearest neighbours (Å) after each atom.
Space group P4/mmm (No. 123)
Inequivalent atoms, fractional coordinates:
Ca1 0.0000 0.0000 0.0000 [1 per cell]  2 F 2.12
N1 0.0000 0.5000 0.0000 [2 per cell]  2 Ca 2.46
O1 0.5000 0.5000 0.5000 [1 per cell]  8 N 3.24, 4 F 3.47
F1 0.0000 0.0000 0.5000 [1 per cell]  2 Ca 2.12

=====

Density functional theory data (GGA-PBEsol) for a relaxed CaPbN2F crystal.

Properties
total DFT energy (no corrections): -5.20 eV/atom
V: 79.1 Å³/cell

Unit cell a=4.2329 b=4.2329 c=4.4167 alpha=90.00 beta=90.00 gamma=90.00
With the nearest neighbours (Å) after each atom.
Space group P4/mmm (No. 123)
Inequivalent atoms, fractional coordinates:
Ca1 0.0000 0.0000 0.0000 [1 per cell]  4 F 2.99, 8 N 3.06
Pb1 0.5000 0.5000 0.5000 [1 per cell]  4 N 2.12, 2 F 2.21
N1 0.0000 0.5000 0.5000 [2 per cell]  2 Pb 2.12
F1 0.5000 0.5000 0.0000 [1 per cell]  2 Pb 2.21

=====

Density functional theory data (GGA-PBEsol) for a relaxed CaRhNF2 crystal.

Properties
total DFT energy (no corrections): -4.94 eV/atom
V: 82.2 Å³/cell

Unit cell a=4.0680 b=4.0680 c=4.9695 alpha=90.00 beta=90.00 gamma=90.00
With the nearest neighbours (Å) after each atom.
Space group P4/mmm (No. 123)
Inequivalent atoms, fractional coordinates:
Ca1 0.0000 0.0000 0.0000 [1 per cell]  4 F 2.03
Rh1 0.5000 0.5000 0.5000 [1 per cell]  4 N 2.88, 8 F 3.21
N1 0.0000 0.0000 0.5000 [1 per cell]  2 Ca 2.48
F1 0.0000 0.5000 0.0000 [2 per cell]  2 Ca 2.03

=====

Density functional theory data (GGA-PBEsol) for a relaxed CaSN2F crystal.

Properties
total DFT energy (no corrections): -5.45 eV/atom
V: 57.3 Å³/cell

Unit cell a=3.4923 b=3.4923 c=4.6965 alpha=90.00 beta=90.00 gamma=90.00
With the nearest neighbours (Å) after each atom.
Space group P4/mmm (No. 123)
Inequivalent atoms, fractional coordinates:
Ca1 0.0000 0.0000 0.0000 [1 per cell]  4 F 2.47
S1 0.5000 0.5000 0.5000 [1 per cell]  4 N 1.75
N1 0.0000 0.5000 0.5000 [2 per cell]  2 S 1.75
F1 0.5000 0.5000 0.0000 [1 per cell]  2 S 2.35, 4 Ca 2.47

=====

Density functional theory data (GGA-PBEsol) for a relaxed CaSnN2F crystal.

Properties
total DFT energy (no corrections): -4.92 eV/atom
V: 84.7 Å³/cell

Unit cell a=4.5293 b=4.5293 c=4.1266 alpha=90.00 beta=90.00 gamma=90.00
With the nearest neighbours (Å) after each atom.
Space group P4/mmm (No. 123)
Inequivalent atoms, fractional coordinates:
Ca1 0.0000 0.0000 0.0000 [1 per cell]  2 F 2.06, 4 N 2.26
Sn1 0.5000 0.5000 0.5000 [1 per cell]  8 N 3.06, 4 F 3.20
N1 0.0000 0.5000 0.0000 [2 per cell]  2 Ca 2.26
F1 0.0000 0.0000 0.5000 [1 per cell]  2 Ca 2.06

=====

Density functional theory data (GGA-PBEsol) for a relaxed CaTcN2F crystal.

Properties
total DFT energy (no corrections): -7.49 eV/atom
V: 60.6 Å³/cell

Unit cell a=3.8572 b=3.8572 c=4.0752 alpha=90.00 beta=90.00 gamma=90.00
With the nearest neighbours (Å) after each atom.
Space group P4/mmm (No. 123)
Inequivalent atoms, fractional coordinates:
Ca1 0.0000 0.0000 0.0000 [1 per cell]  4 F 2.73, 8 N 2.81
Tc1 0.5000 0.5000 0.5000 [1 per cell]  4 N 1.93, 2 F 2.04
N1 0.0000 0.5000 0.5000 [2 per cell]  2 Tc 1.93
F1 0.5000 0.5000 0.0000 [1 per cell]  2 Tc 2.04

=====

Density functional theory data (GGA-PBEsol) for a relaxed CaTlN2F crystal.

Properties
total DFT energy (no corrections): -4.69 eV/atom
V: 79.6 Å³/cell

Unit cell a=4.1834 b=4.1834 c=4.5475 alpha=90.00 beta=90.00 gamma=90.00
With the nearest neighbours (Å) after each atom.
Space group P4/mmm (No. 123)
Inequivalent atoms, fractional coordinates:
Ca1 0.0000 0.0000 0.0000 [1 per cell]  4 F 2.96, 8 N 3.09
Tl1 0.5000 0.5000 0.5000 [1 per cell]  4 N 2.09, 2 F 2.27
N1 0.0000 0.5000 0.5000 [2 per cell]  2 Tl 2.09
F1 0.5000 0.5000 0.0000 [1 per cell]  2 Tl 2.27

=====

Density functional theory data (GGA-PBEsol) for a relaxed NaCaNb2O6F crystal.

Properties
total DFT energy (no corrections): -8.10 eV/atom
V: 574.5 Å³/cell

Unit cell a=7.3558 b=7.4581 c=10.4716 alpha=90.00 beta=90.00 gamma=90.00
With the nearest neighbours (Å) after each atom.
Space group Imma (No. 74)
Inequivalent atoms, fractional coordinates:
Na1 0.2500 0.2500 0.2500 [4 per cell]  2 F 2.31
Ca1 0.0000 0.0000 0.0000 [4 per cell]  2 F 2.23
Nb1 0.0000 0.0000 0.5000 [4 per cell]  6 O 1.98-1.99
Nb2 0.2500 0.2500 0.7500 [4 per cell]  6 O 1.99
O1 0.0000 0.2500 0.4356 [4 per cell]  2 Nb 1.98
O2 0.0000 0.2500 0.8233 [4 per cell]  2 Nb 1.99
O3 0.1979 0.0588 0.6232 [16 per cell]  2 Nb 1.99
F1 0.0000 0.2500 0.1166 [4 per cell]  2 Ca 2.23, 2 Na 2.31

=====

Number 1: magnetic moment 0.0 μB/cell. Number 2: magnetic moment 0.0 μB/cell. Number 3: magnetic moment 2.0 μB/cell. Number 4: magnetic moment 0.0 μB/cell. Number 5: magnetic moment 4.0 μB/cell. Number 6: magnetic moment 0.0 μB/cell. Number 7: magnetic moment 3.0 μB/cell. Number 8: magnetic moment 1.0 μB/cell. Number 9: magnetic moment 0.2 μB/cell. Number 10: magnetic moment 6.0 μB/cell. Number 11: magnetic moment 12.0 μB/cell. Number 12: magnetic moment 4.0 μB/cell. Number 13: magnetic moment 7.0 μB/cell. Number 14: magnetic moment 0.0 μB/cell. Number 15: magnetic moment 3.7 μB/cell. Number 16: magnetic moment 0.0 μB/cell. Number 17: magnetic moment 3.0 μB/cell. Number 18: magnetic moment 0.0 μB/cell. Number 19: magnetic moment 0.9 μB/cell. Number 20: magnetic moment 0.0 μB/cell.